[1]
{
  "formula": "Pm2MgAg",
  "functional": "PBE",
  "state": "optimized geometry",
  "cell": [[-0.729, -0.416, 3.264], [-3.104, -0.927, 0.929], [1.849, -11.645, 0.670]],
  "species": ["Mg", "Ag", "Pm", "Pm"],
  "frac_coords": [[0.500, 0.500, 0.500], [0.000, 0.000, 0.000], [0.088, 0.088, 0.737], [0.912, 0.912, 0.263]],
  "final_energy_ev_per_fu": -12.93
}

[2]
{
  "formula": "CdHg6Bi2",
  "functional": "PBE",
  "state": "optimized geometry",
  "cell": [[7.653, 0.407, 1.436], [-3.643, 6.003, -1.848], [2.844, -1.194, 6.536]],
  "species": ["Cd", "Hg", "Hg", "Hg", "Hg", "Hg", "Hg", "Bi", "Bi"],
  "frac_coords": [[0.000, 0.000, 0.500], [0.880, 0.786, 0.831], [0.783, 0.581, 0.166], [0.217, 0.419, 0.834], [0.683, 0.341, 0.478], [0.317, 0.659, 0.522], [0.120, 0.214, 0.169], [0.582, 0.108, 0.826], [0.418, 0.892, 0.174]],
  "final_energy_ev_per_fu": -10.15
}

[3]
{
  "formula": "GdHoBe2",
  "functional": "PBE",
  "state": "optimized geometry",
  "cell": [[-2.752, -0.002, 2.016], [0.035, -3.411, 0.044], [4.038, 0.113, 5.512]],
  "species": ["Be", "Be", "Gd", "Ho"],
  "frac_coords": [[0.000, 0.000, 0.762], [0.000, 0.000, 0.238], [0.500, 0.500, 0.500], [0.500, 0.500, 0.000]],
  "final_energy_ev_per_fu": -25.69
}

[4]
{
  "formula": "TaAs2P",
  "functional": "PBE",
  "state": "optimized geometry",
  "cell": [[-3.151, -0.026, 2.825], [2.062, -1.737, 2.284], [2.546, 3.209, 2.868]],
  "species": ["As", "As", "P", "Ta"],
  "frac_coords": [[0.000, 0.962, 0.948], [0.500, 0.269, 0.335], [0.000, 0.709, 0.462], [0.500, 0.559, 0.755]],
  "final_energy_ev_per_fu": -27.02
}

[5]
{
  "formula": "UTeH",
  "functional": "PBE",
  "state": "optimized geometry",
  "cell": [[-1.598, 0.140, 2.989], [-2.991, 0.035, -1.601], [2.144, -5.347, -0.528]],
  "species": ["H", "Te", "U"],
  "frac_coords": [[0.278, 0.278, 0.556], [0.011, 0.011, 0.023], [0.710, 0.710, 0.421]],
  "final_energy_ev_per_fu": -18.14
}

[6]
{
  "formula": "CeNi4Pt2",
  "functional": "PBE",
  "state": "optimized geometry",
  "cell": [[-4.923, -0.425, 1.888], [-1.297, -3.844, 3.154], [-1.339, 2.260, 4.416]],
  "species": ["Ce", "Ni", "Ni", "Ni", "Ni", "Pt", "Pt"],
  "frac_coords": [[0.000, 0.000, 0.000], [0.699, 0.602, 0.000], [0.301, 0.398, 0.000], [0.699, 0.000, 0.602], [0.301, 0.000, 0.398], [0.750, 0.500, 0.500], [0.250, 0.500, 0.500]],
  "final_energy_ev_per_fu": -44.10
}

[7]
{
  "formula": "CeEr2Se",
  "functional": "PBE",
  "state": "optimized geometry",
  "cell": [[3.620, 0.000, 0.000], [1.810, 3.135, 0.000], [1.810, 1.045, 10.373]],
  "species": ["Se", "Ce", "Er", "Er"],
  "frac_coords": [[0.500, 0.500, 0.500], [0.000, 0.000, 0.000], [0.107, 0.107, 0.678], [0.893, 0.893, 0.322]],
  "e_form_raw_ev_per_atom": -0.49
}

[8]
{
  "formula": "Nd6Si2TeSe3",
  "functional": "PBE",
  "state": "optimized geometry",
  "cell": [[4.291, 0.000, 0.000], [0.000, 8.666, 0.362], [-2.145, -2.447, 9.039]],
  "species": ["Nd", "Nd", "Nd", "Nd", "Nd", "Nd", "Si", "Si", "Te", "Se", "Se", "Se"],
  "frac_coords": [[0.327, 0.897, 0.654], [0.670, 0.578, 0.339], [0.673, 0.103, 0.346], [0.007, 0.269, 0.015], [0.993, 0.731, 0.985], [0.330, 0.422, 0.661], [0.833, 0.664, 0.665], [0.167, 0.336, 0.335], [0.500, 0.000, 0.000], [0.500, 0.500, 0.000], [0.837, 0.164, 0.674], [0.163, 0.836, 0.326]],
  "e_form_raw_ev_per_atom": -1.44
}

[9]
{
  "formula": "DyThAl",
  "functional": "PBE",
  "state": "optimized geometry",
  "cell": [[5.054, -0.001, -0.135], [2.524, 4.378, -0.135], [0.200, 0.115, 7.297]],
  "species": ["Dy", "Dy", "Th", "Th", "Al", "Al"],
  "frac_coords": [[0.667, 0.667, 0.103], [0.333, 0.333, 0.897], [0.667, 0.667, 0.611], [0.333, 0.333, 0.389], [0.000, 0.000, 0.793], [0.000, 0.000, 0.207]],
  "final_energy_ev_per_fu": -15.93
}

[10]
{
  "formula": "Ba2LiCu",
  "functional": "PBE",
  "state": "optimized geometry",
  "cell": [[-2.738, -1.402, 3.636], [-1.380, -3.850, -2.523], [4.288, -5.303, 1.184]],
  "species": ["Ba", "Ba", "Cu", "Li"],
  "frac_coords": [[0.000, 0.984, 0.907], [0.500, 0.264, 0.347], [0.000, 0.678, 0.518], [0.500, 0.574, 0.728]],
  "final_energy_ev_per_fu": -9.72
}

[11]
{
  "formula": "CaGd3",
  "functional": "PBE",
  "state": "optimized geometry",
  "cell": [[-3.038, -1.194, -3.997], [3.527, -3.375, -1.673], [-2.469, -1.429, 5.635]],
  "species": ["Ca", "Gd", "Gd", "Gd"],
  "frac_coords": [[0.000, 0.000, 0.000], [0.750, 0.250, 0.500], [0.250, 0.750, 0.500], [0.500, 0.500, 0.000]],
  "final_energy_ev_per_fu": -43.79
}

[12]
{
  "formula": "RbPC2",
  "functional": "PBE",
  "state": "optimized geometry",
  "cell": [[5.599, 0.000, 0.000], [0.000, 5.599, 0.000], [2.799, 2.799, 4.016]],
  "species": ["P", "P", "C", "C", "C", "C", "Rb", "Rb"],
  "frac_coords": [[0.500, 0.500, 0.000], [0.250, 0.750, 0.500], [0.375, 0.125, 0.250], [0.375, 0.625, 0.250], [0.375, 0.625, 0.750], [0.875, 0.625, 0.750], [0.000, 0.000, 0.000], [0.750, 0.250, 0.500]],
  "final_energy_ev_per_fu": -21.30
}

[13]
{
  "formula": "MnReCl2",
  "functional": "PBE",
  "state": "optimized geometry",
  "cell": [[2.982, 0.000, 0.000], [0.000, 3.088, 0.009], [0.000, -0.035, 8.473]],
  "species": ["Re", "Mn", "Cl", "Cl"],
  "frac_coords": [[0.500, 0.875, 0.709], [0.000, 0.374, 0.537], [0.000, 0.876, 0.928], [0.500, 0.375, 0.327]],
  "e_form_raw_ev_per_atom": -0.11
}

[14]
{
  "formula": "SmHo4N4",
  "functional": "PBE",
  "state": "optimized geometry",
  "cell": [[4.535, 0.002, 1.819], [2.230, 5.549, 1.010], [0.205, -0.107, 6.058]],
  "species": ["Sm", "Ho", "Ho", "Ho", "Ho", "N", "N", "N", "N"],
  "frac_coords": [[0.000, 0.000, 0.000], [0.610, 0.576, 0.205], [0.390, 0.424, 0.795], [0.186, 0.205, 0.424], [0.814, 0.795, 0.576], [0.900, 0.404, 0.797], [0.100, 0.596, 0.203], [0.304, 0.797, 0.596], [0.696, 0.203, 0.404]],
  "e_form_raw_ev_per_atom": -1.49
}

[15]
{
  "formula": "DyNpSi2",
  "functional": "PBE",
  "state": "optimized geometry",
  "cell": [[-0.885, -0.490, 3.845], [-3.427, -1.721, 1.047], [1.664, -6.960, 1.551]],
  "species": ["Np", "Si", "Si", "Dy"],
  "frac_coords": [[0.000, 0.000, 0.000], [0.747, 0.747, 0.758], [0.253, 0.253, 0.242], [0.500, 0.500, 0.500]],
  "e_form_raw_ev_per_atom": -0.14
}

[16]
{
  "formula": "K2RbVSe4",
  "functional": "PBE",
  "state": "optimized geometry",
  "cell": [[-5.307, -2.341, -4.406], [6.541, -1.977, -2.523], [-0.640, -2.936, 6.635]],
  "species": ["K", "K", "Rb", "V", "Se", "Se", "Se", "Se"],
  "frac_coords": [[0.500, 0.750, 0.250], [0.500, 0.250, 0.750], [0.000, 0.000, 0.000], [0.000, 0.500, 0.500], [0.000, 0.188, 0.515], [0.674, 0.485, 0.485], [0.326, 0.812, 0.812], [0.000, 0.515, 0.188]],
  "e_form_raw_ev_per_atom": -1.00
}

[17]
{
  "formula": "Sc3Ag",
  "functional": "PBE",
  "state": "optimized geometry",
  "cell": [[2.547, 5.754, -1.211], [-6.330, -0.979, -0.203], [-0.340, 1.183, 4.904]],
  "species": ["Sc", "Sc", "Sc", "Sc", "Sc", "Sc", "Ag", "Ag"],
  "frac_coords": [[0.079, 0.921, 0.250], [0.582, 0.909, 0.250], [0.091, 0.418, 0.250], [0.921, 0.079, 0.750], [0.418, 0.091, 0.750], [0.909, 0.582, 0.750], [0.580, 0.420, 0.250], [0.420, 0.580, 0.750]],
  "final_energy_ev_per_fu": -21.96
}

[18]
{
  "formula": "CaLaN",
  "functional": "PBE",
  "state": "optimized geometry",
  "cell": [[4.401, 0.000, 0.000], [2.200, 3.811, 0.000], [2.200, 1.270, 3.593]],
  "species": ["Ca", "N", "La"],
  "frac_coords": [[0.500, 0.500, 0.500], [0.250, 0.250, 0.250], [0.000, 0.000, 0.000]],
  "e_form_raw_ev_per_atom": -0.32
}

[19]
{
  "formula": "LuCuB5O10",
  "functional": "PBE",
  "state": "optimized geometry",
  "cell": [[-7.720, 2.906, -0.144], [-3.504, -4.973, 5.573], [6.152, 5.496, 0.101]],
  "species": ["Lu", "Lu", "Cu", "Cu", "B", "B", "B", "B", "B", "B", "B", "B", "B", "B", "O", "O", "O", "O", "O", "O", "O", "O", "O", "O", "O", "O", "O", "O", "O", "O", "O", "O", "O", "O"],
  "frac_coords": [[0.250, 0.750, 0.500], [0.750, 0.250, 0.500], [0.000, 0.500, 0.500], [0.500, 0.000, 0.500], [0.093, 0.784, 0.077], [0.250, 0.250, 0.000], [0.750, 0.750, 0.000], [0.293, 0.984, 0.077], [0.907, 0.216, 0.923], [0.707, 0.016, 0.923], [0.593, 0.516, 0.309], [0.207, 0.284, 0.691], [0.407, 0.484, 0.691], [0.793, 0.716, 0.309], [0.459, 0.052, 0.283], [0.269, 0.552, 0.593], [0.959, 0.676, 0.407], [0.769, 0.176, 0.717], [0.231, 0.824, 0.283], [0.541, 0.948, 0.717], [0.731, 0.448, 0.407], [0.041, 0.324, 0.593], [0.908, 0.663, 0.944], [0.719, 0.964, 0.056], [0.408, 0.464, 0.245], [0.219, 0.163, 0.755], [0.373, 0.354, 0.726], [0.627, 0.646, 0.274], [0.873, 0.146, 0.019], [0.127, 0.854, 0.981], [0.592, 0.536, 0.755], [0.781, 0.837, 0.245], [0.092, 0.337, 0.056], [0.281, 0.036, 0.944]],
  "e_form_raw_ev_per_atom": -2.40
}

[20]
{
  "formula": "K3Na3VCl8",
  "functional": "PBE",
  "state": "optimized geometry",
  "cell": [[8.233, 0.000, 0.000], [-4.116, 7.136, -0.026], [0.000, -4.733, 7.166]],
  "species": ["K", "K", "K", "Na", "Na", "Na", "V", "Cl", "Cl", "Cl", "Cl", "Cl", "Cl", "Cl", "Cl"],
  "frac_coords": [[0.000, 0.000, 0.000], [0.000, 0.500, 0.000], [0.500, 0.500, 0.000], [0.500, 0.000, 0.500], [0.500, 0.500, 0.500], [0.000, 0.500, 0.500], [0.000, 0.000, 0.500], [0.260, 0.520, 0.280], [0.740, 0.480, 0.720], [0.786, 0.572, 0.302], [0.214, 0.428, 0.698], [0.786, 0.016, 0.303], [0.214, 0.984, 0.697], [0.230, 0.016, 0.303], [0.770, 0.984, 0.697]],
  "e_form_raw_ev_per_atom": -1.72
}

[21]
{
  "formula": "TiCrCoMo",
  "functional": "PBE",
  "state": "optimized geometry",
  "cell": [[-2.559, -3.331, -0.575], [-1.384, -2.212, 3.341], [-4.072, 0.231, 1.156]],
  "species": ["Cr", "Mo", "Co", "Ti"],
  "frac_coords": [[0.500, 0.500, 0.500], [0.250, 0.250, 0.250], [0.750, 0.750, 0.750], [0.000, 0.000, 0.000]],
  "final_energy_ev_per_fu": -35.69
}

[22]
{
  "formula": "PmTh2ZrAs4",
  "functional": "PBE",
  "state": "optimized geometry",
  "cell": [[-2.759, -1.647, 2.642], [0.931, -6.466, -3.060], [4.667, 0.794, 5.369]],
  "species": ["Pm", "Th", "Th", "Zr", "As", "As", "As", "As"],
  "frac_coords": [[0.500, 0.500, 0.000], [0.500, 0.000, 0.500], [0.000, 0.500, 0.500], [0.000, 0.000, 0.000], [0.500, 0.236, 0.235], [0.500, 0.764, 0.765], [0.000, 0.244, 0.759], [0.000, 0.756, 0.241]],
  "final_energy_ev_per_fu": -57.39
}

[23]
{
  "formula": "NiW2Cl2",
  "functional": "PBE",
  "state": "optimized geometry",
  "cell": [[-1.884, 1.884, 5.921], [1.884, -1.884, 5.921], [1.884, 1.884, -5.921]],
  "species": ["Ni", "W", "W", "Cl", "Cl"],
  "frac_coords": [[0.000, 0.000, 0.000], [0.601, 0.601, 0.000], [0.399, 0.399, 0.000], [0.250, 0.750, 0.500], [0.750, 0.250, 0.500]],
  "e_form_raw_ev_per_atom": 0.89
}

[24]
{
  "formula": "Er3MgTl4",
  "functional": "PBE",
  "state": "optimized geometry",
  "cell": [[5.057, 0.000, -1.365], [-0.363, 5.050, -1.343], [-0.439, -0.505, 8.424]],
  "species": ["Mg", "Tl", "Tl", "Tl", "Tl", "Er", "Er", "Er"],
  "frac_coords": [[0.500, 0.000, 0.000], [0.378, 0.377, 0.756], [0.622, 0.623, 0.244], [0.122, 0.122, 0.244], [0.878, 0.878, 0.756], [0.000, 0.500, 0.000], [0.744, 0.244, 0.488], [0.256, 0.756, 0.512]],
  "final_energy_ev_per_fu": -26.77
}

[25]
{
  "formula": "TbHfFe2",
  "functional": "PBE",
  "state": "optimized geometry",
  "cell": [[4.561, -0.005, 0.002], [2.285, 3.922, 0.433], [2.281, 0.899, 3.846]],
  "species": ["Tb", "Hf", "Fe", "Fe"],
  "frac_coords": [[0.250, 0.250, 0.250], [0.750, 0.750, 0.750], [0.000, 0.000, 0.000], [0.500, 0.500, 0.500]],
  "final_energy_ev_per_fu": -31.41
}